# Na5InSn2

A geometry-optimized Na5InSn2 structure (PBE, Alexandria).

Cell lengths 6.8549, 13.6880, 4.7128 Å; angles 90.00, 90.00, 90.00 degrees
Last column: nearest neighbours and their distance in Å.
Element x y z (fractional)
Na (0.0000, 0.0000, 0.0000)  6 Na 3.30-3.50, 2 In 3.43, 4 Sn 3.46
Na (0.0320, 0.2555, 0.0000)  7 Na 3.31-3.50, 1 In 3.35, 4 Sn 3.38-3.50
Na (0.2274, 0.8756, 0.5000)  6 Na 3.30-3.45, 4 Sn 3.32-3.55, 2 In 3.46
Na (0.2726, 0.3756, 0.5000)  6 Na 3.30-3.45, 4 Sn 3.32-3.55, 2 In 3.46
Na (0.4680, 0.7555, 0.0000)  7 Na 3.31-3.50, 1 In 3.35, 4 Sn 3.38-3.50
Na (0.5000, 0.5000, 0.0000)  6 Na 3.30-3.50, 2 In 3.43, 4 Sn 3.46
Na (0.5320, 0.2445, 0.0000)  7 Na 3.31-3.50, 1 In 3.35, 4 Sn 3.38-3.50
Na (0.7274, 0.6244, 0.5000)  6 Na 3.30-3.45, 4 Sn 3.32-3.55, 2 In 3.46
Na (0.7726, 0.1244, 0.5000)  6 Na 3.30-3.45, 4 Sn 3.32-3.55, 2 In 3.46
Na (0.9680, 0.7445, 0.0000)  7 Na 3.31-3.50, 1 In 3.35, 4 Sn 3.38-3.50
In (0.0000, 0.5000, 0.0000)  4 Sn 3.20, 8 Na 3.35-3.46
In (0.5000, 0.0000, 0.0000)  4 Sn 3.20, 8 Na 3.35-3.46
Sn (0.2128, 0.6164, 0.5000)  2 In 3.20, 10 Na 3.32-3.55
Sn (0.2872, 0.1164, 0.5000)  2 In 3.20, 10 Na 3.32-3.55
Sn (0.7128, 0.8836, 0.5000)  2 In 3.20, 10 Na 3.32-3.55
Sn (0.7872, 0.3836, 0.5000)  2 In 3.20, 10 Na 3.32-3.55

E = -2.2704 eV per atom
space-group type = Pbam (55)


# Na4In2Sn

A geometry-optimized Na4In2Sn structure (PBE, Alexandria).

Cell lengths 8.8391, 8.8391, 8.8391 Å; angles 141.23, 141.23, 55.98 degrees
Last column: nearest neighbours and their distance in Å.
Element x y z (fractional)
Na (0.0000, 0.5000, 0.5000)  2 Sn 2.93
Na (0.1975, 0.1975, 0.0000)  1 Sn 3.08, 1 In 3.20
Na (0.5000, 0.0000, 0.5000)  2 Sn 2.93
Na (0.8025, 0.8025, 0.0000)  1 Sn 3.08, 1 In 3.20
In (0.4026, 0.4026, 0.0000)  1 In 3.04, 5 Na 3.20-3.30
In (0.5974, 0.5974, 0.0000)  1 In 3.04, 5 Na 3.20-3.30
Sn (0.0000, 0.0000, 0.0000)  6 Na 2.93-3.08

E = -2.0009 eV per atom
space-group type = I4/mmm (139)


# NaInSn3

A geometry-optimized NaInSn3 structure (PBE, Alexandria).

Cell lengths 5.7240, 5.7240, 5.7240 Å; angles 90.00, 90.00, 90.00 degrees
Last column: nearest neighbours and their distance in Å.
Element x y z (fractional)
Na (0.0000, 0.0000, 0.0000)  12 Sn 4.05
In (0.5000, 0.5000, 0.5000)  6 Sn 2.86
Sn (0.0000, 0.5000, 0.5000)  2 In 2.86
Sn (0.5000, 0.0000, 0.5000)  2 In 2.86
Sn (0.5000, 0.5000, 0.0000)  2 In 2.86

polymorph energy (0 for the lowest one) = 402 meV per atom
space-group type = Pm-3m (221)


# Na3In12Sn

A geometry-optimized Na3In12Sn structure (PBE, Alexandria).

Cell lengths 4.7824, 4.7824, 18.4900 Å; angles 90.00, 90.00, 90.00 degrees
Last column: nearest neighbours and their distance in Å.
Element x y z (fractional)
Na (0.0000, 0.0000, 0.0000)  12 In 3.31-3.38
Na (0.0000, 0.0000, 0.2477)  12 In 3.31-3.38
Na (0.0000, 0.0000, 0.7523)  12 In 3.31-3.38
In (0.0000, 0.5000, 0.1236)  8 In 3.31-3.38, 4 Na 3.31
In (0.0000, 0.5000, 0.3725)  8 In 3.32-3.38, 2 Na 3.32, 2 Sn 3.36
In (0.0000, 0.5000, 0.6275)  8 In 3.32-3.38, 2 Na 3.32, 2 Sn 3.36
In (0.0000, 0.5000, 0.8764)  8 In 3.31-3.38, 4 Na 3.31
In (0.5000, 0.0000, 0.1236)  8 In 3.31-3.38, 4 Na 3.31
In (0.5000, 0.0000, 0.3725)  8 In 3.32-3.38, 2 Na 3.32, 2 Sn 3.36
In (0.5000, 0.0000, 0.6275)  8 In 3.32-3.38, 2 Na 3.32, 2 Sn 3.36
In (0.5000, 0.0000, 0.8764)  8 In 3.31-3.38, 4 Na 3.31
In (0.5000, 0.5000, 0.0000)  8 In 3.31, 4 Na 3.38
In (0.5000, 0.5000, 0.2483)  8 In 3.32, 4 Na 3.38
In (0.5000, 0.5000, 0.5000)  8 In 3.36, 4 Sn 3.38
In (0.5000, 0.5000, 0.7517)  8 In 3.32, 4 Na 3.38
Sn (0.0000, 0.0000, 0.5000)  12 In 3.36-3.38

E = -2.6061 eV per atom
space-group type = P4/mmm (123)